# 1
The following is a GGA-PBE calculation of crystalline LaSi3Ge at its relaxed geometry, from the Alexandria database.

Calculated values
D(E_F)   3.13 states/eV/cell
ΔE_f (raw)   0.345 eV per atom
Crystal system   cubic
Distance to the lowest polymorph of the same formula   0.000 kcal/mol of atoms
Energy   -24.1 eV/cell

Cell and atoms, written as CIF:
```
data_LaSi3Ge
_cell_length_a 4.845
_cell_length_b 4.845
_cell_length_c 4.845
_cell_angle_alpha 90.00
_cell_angle_beta 90.00
_cell_angle_gamma 90.00
_space_group_name_H-M_alt 'P m -3 m'
_space_group_IT_number 221
_space_group_name_Hall '-P 4 2 3'
loop_
_atom_site_label
_atom_site_fract_x
_atom_site_fract_y
_atom_site_fract_z
La1 0.000 0.000 0.000
Si1 0.000 0.500 0.500
Ge1 0.500 0.500 0.500
```


# 2
The following is a GGA-PBE calculation of crystalline BaY2 at its relaxed geometry, from the Alexandria database.

Calculated values
D(E_F)   23.77 states/eV/cell
Crystal system   orthorhombic
Distance to the lowest polymorph of the same formula   2.356 kcal/mol of atoms
Energy   -56.3 eV/cell

Cell and atoms, written as CIF:
```
data_BaY2
_cell_length_a 7.639
_cell_length_b 5.351
_cell_length_c 11.357
_cell_angle_alpha 90.00
_cell_angle_beta 90.00
_cell_angle_gamma 90.00
_space_group_name_H-M_alt 'P n m a'
_space_group_IT_number 62
_space_group_name_Hall '-P 2ac 2n'
loop_
_atom_site_label
_atom_site_fract_x
_atom_site_fract_y
_atom_site_fract_z
Ba1 0.131 0.250 0.087
Y1 0.114 0.250 0.418
Y2 0.125 0.250 0.741
```


# 3
The following is a GGA-PBE calculation of crystalline Sm3NiB2Pt9 at its relaxed geometry, from the Alexandria database.

Calculated values
D(E_F)   5.85 states/eV/cell
Crystal system   trigonal
Energy   -99.2 eV/cell

Cell and atoms, written as CIF:
```
data_Sm3NiB2Pt9
_cell_length_a 5.7572
_cell_length_b 5.7572
_cell_length_c 9.2185
_cell_angle_alpha 90.00
_cell_angle_beta 90.00
_cell_angle_gamma 120.00
_space_group_name_H-M_alt 'P -3 m 1'
_space_group_IT_number 164
_space_group_name_Hall '-P 3 2"'
loop_
_atom_site_label
_atom_site_fract_x
_atom_site_fract_y
_atom_site_fract_z
Sm1 0.0000 0.0000 0.0000
Sm2 0.3333 0.6667 0.5969
Ni1 0.0000 0.0000 0.5000
B1 0.3333 0.6667 0.1516
Pt1 0.0000 0.5000 0.0000
Pt2 0.1628 0.3256 0.2871
```


# 4
The following is a GGA-PBE calculation of crystalline Li2Ac3Ho2Tl4 at its relaxed geometry, from the Alexandria database.

Calculated values
D(E_F)   13.21 states/eV/cell
Crystal system   trigonal
Energy   -36.8 eV/cell

Cell and atoms, written as CIF:
```
data_Li2Ac3Ho2Tl4
_cell_length_a 5.1469
_cell_length_b 5.1469
_cell_length_c 15.5011
_cell_angle_alpha 90.00
_cell_angle_beta 90.00
_cell_angle_gamma 120.00
_space_group_name_H-M_alt 'P -3 m 1'
_space_group_IT_number 164
_space_group_name_Hall '-P 3 2"'
loop_
_atom_site_label
_atom_site_fract_x
_atom_site_fract_y
_atom_site_fract_z
Li1 0.3333 0.6667 0.1311
Ac1 0.0000 0.0000 0.0000
Ac2 0.0000 0.0000 0.2537
Ho1 0.3333 0.6667 0.5709
Tl1 0.3333 0.6667 0.3679
Tl2 0.3333 0.6667 0.8737
```


# 5
The following is a GGA-PBE calculation of crystalline Pu2Ge2Pt at its relaxed geometry, from the Alexandria database.

Calculated values
D(E_F)   31.87 states/eV/cell
Crystal system   orthorhombic
Distance to the lowest polymorph of the same formula   0.720 kcal/mol of atoms
Energy   -94.0 eV/cell

Cell and atoms, written as CIF:
```
data_Pu2Ge2Pt
_cell_length_a 4.068
_cell_length_b 5.842
_cell_length_c 8.944
_cell_angle_alpha 90.00
_cell_angle_beta 90.00
_cell_angle_gamma 90.00
_space_group_name_H-M_alt 'I m m m'
_space_group_IT_number 71
_space_group_name_Hall '-I 2 2'
loop_
_atom_site_label
_atom_site_fract_x
_atom_site_fract_y
_atom_site_fract_z
Pu1 0.000 0.000 0.205
Ge1 0.000 0.263 0.500
Pt1 0.000 0.500 0.000
```


# 6
The following is a GGA-PBE calculation of crystalline BaLaI2N at its relaxed geometry, from the Alexandria database.

Calculated values
D(E_F)   5.17 states/eV/cell
ΔE_f (raw)   -0.103 eV per atom
Crystal system   tetragonal
Distance to the lowest polymorph of the same formula   28.833 kcal/mol of atoms
Energy   -18.8 eV/cell

Cell and atoms, written as CIF:
```
data_BaLaI2N
_cell_length_a 6.547
_cell_length_b 6.547
_cell_length_c 4.506
_cell_angle_alpha 90.00
_cell_angle_beta 90.00
_cell_angle_gamma 90.00
_space_group_name_H-M_alt 'P 4/m m m'
_space_group_IT_number 123
_space_group_name_Hall '-P 4 2'
loop_
_atom_site_label
_atom_site_fract_x
_atom_site_fract_y
_atom_site_fract_z
Ba1 0.000 0.000 0.000
La1 0.500 0.500 0.500
I1 0.000 0.500 0.000
N1 0.000 0.000 0.500
```